Record 1
VASP calculation (GGA-PBEsol) on GdAl3Cu after structural relaxation.

The structure in POSCAR format:
```
GdAl3Cu
1.0
-2.063 2.063 5.282
2.063 -2.063 5.282
2.063 2.063 -5.282
Gd Al Cu
1 3 1
Direct
0.000 0.000 0.000
0.252 0.752 0.500
0.592 0.592 0.000
0.752 0.252 0.500
0.372 0.372 0.000
```

Calculated values
For the formation energy, the calculation gives -0.451 eV/atom. Its symmetry is No. 107.

Record 2
VASP calculation (GGA-PBEsol) on TaAlCuGe2 after structural relaxation.

The structure in POSCAR format:
```
TaAlCuGe2
1.0
4.934 0.000 0.000
0.000 4.934 0.000
0.000 0.000 4.794
Ta Al Cu Ge
1 1 1 2
Direct
0.000 0.000 0.000
0.500 0.500 0.500
0.000 0.000 0.500
0.000 0.500 0.000
0.500 0.000 0.000
```

Calculated values
For the formation energy, the calculation gives 0.935 eV/atom. Its symmetry is No. 123.

Record 3
VASP calculation (GGA-PBEsol) on AlCuH3 after structural relaxation.

The structure in POSCAR format:
```
AlCuH3
1.0
3.492 0.000 0.000
0.000 3.492 0.000
0.000 0.000 3.492
Al Cu H
1 1 3
Direct
0.000 0.000 0.000
0.500 0.500 0.500
0.000 0.000 0.500
0.000 0.500 0.000
0.500 0.000 0.000
```

Calculated values
As for the total energy: -3.1489 eV/atom. Its symmetry is No. 221.

Record 4
VASP calculation (GGA-PBEsol) on Al2CuH2 after structural relaxation.

The structure in POSCAR format:
```
Al2CuH2
1.0
6.077 0.000 0.000
0.000 6.077 0.000
0.000 0.000 2.613
Al Cu H
4 2 4
Direct
0.164 0.336 0.000
0.336 0.836 0.000
0.664 0.164 0.000
0.836 0.664 0.000
0.000 0.000 0.500
0.500 0.500 0.500
0.113 0.613 0.500
0.387 0.113 0.500
0.613 0.887 0.500
0.887 0.387 0.500
```

Calculated values
As for the total energy: -3.5404 eV/atom. Its symmetry is No. 127.

Record 5
VASP calculation (GGA-PBEsol) on Al6CuP4H16O28 after structural relaxation.

The structure in POSCAR format:
```
Al6CuP4H16O28
1.0
7.382 0.000 0.000
3.214 6.904 0.000
3.455 2.509 8.898
Al Cu P H O
6 1 4 16 28
Direct
0.210 0.329 0.249
0.256 0.999 0.758
0.262 0.681 0.273
0.738 0.319 0.727
0.744 0.001 0.242
0.790 0.671 0.751
0.500 0.500 0.000
0.151 0.118 0.055
0.337 0.886 0.464
0.663 0.114 0.536
0.849 0.882 0.945
0.070 0.197 0.569
0.088 0.409 0.665
0.154 0.613 0.588
0.156 0.695 0.044
0.328 0.327 0.461
0.349 0.346 0.819
0.368 0.571 0.737
0.489 0.843 0.921
0.511 0.157 0.079
0.632 0.429 0.263
0.651 0.654 0.181
0.672 0.673 0.539
0.844 0.305 0.956
0.846 0.387 0.412
0.912 0.591 0.335
0.930 0.803 0.431
0.035 0.210 0.672
0.075 0.537 0.681
0.077 0.868 0.907
0.164 0.285 0.097
0.196 0.098 0.400
0.234 0.149 0.883
0.236 0.589 0.123
0.269 0.421 0.373
0.284 0.726 0.438
0.288 0.912 0.134
0.299 0.838 0.636
0.435 0.136 0.609
0.436 0.431 0.794
0.489 0.781 0.848
0.511 0.219 0.152
0.564 0.569 0.206
0.565 0.864 0.391
0.701 0.162 0.364
0.712 0.088 0.866
0.716 0.274 0.562
0.731 0.579 0.627
0.764 0.411 0.877
0.766 0.851 0.117
0.804 0.902 0.600
0.836 0.715 0.903
0.923 0.132 0.093
0.925 0.463 0.319
0.965 0.790 0.328
```

Calculated values
As for the total energy: -6.5183 eV/atom. Its symmetry is No. 2.

Record 6
VASP calculation (GGA-PBEsol) on HfAlCu2 after structural relaxation.

The structure in POSCAR format:
```
HfAlCu2
1.0
0.000 3.064 3.064
3.064 0.000 3.064
3.064 3.064 0.000
Hf Al Cu
1 1 2
Direct
0.000 0.000 0.000
0.500 0.500 0.500
0.250 0.250 0.250
0.750 0.750 0.750
```

Calculated values
For the formation energy, the calculation gives -0.349 eV/atom. Its symmetry is No. 225.

Record 7
VASP calculation (GGA-PBEsol) on Hf2Al3Cu after structural relaxation.

The structure in POSCAR format:
```
Hf2Al3Cu
1.0
2.610 1.507 4.113
-2.610 1.507 4.113
0.000 -3.014 4.113
Hf Al Cu
2 3 1
Direct
0.125 0.125 0.125
0.875 0.875 0.875
0.000 0.500 0.500
0.500 0.000 0.500
0.500 0.500 0.000
0.500 0.500 0.500
```

Calculated values
For the formation energy, the calculation gives -0.449 eV/atom. Its symmetry is No. 166.

Record 8
VASP calculation (GGA-PBEsol) on Hf2Al2Cu after structural relaxation.

The structure in POSCAR format:
```
Hf2Al2Cu
1.0
6.323 0.000 0.000
0.000 6.323 0.000
0.000 0.000 4.300
Hf Al Cu
4 4 2
Direct
0.165 0.335 0.000
0.335 0.835 0.000
0.665 0.165 0.000
0.835 0.665 0.000
0.142 0.642 0.500
0.358 0.142 0.500
0.642 0.858 0.500
0.858 0.358 0.500
0.000 0.000 0.500
0.500 0.500 0.500
```

Calculated values
For the formation energy, the calculation gives -0.308 eV/atom. Its symmetry is No. 127.

Which formula does entry 3 have? AlCuH3

Number 1 is which compound? GdAl3Cu